[1]
Compound: MgPb
Source: Alexandria via LeMat-Bulk
Functional: PBE
Structure: relaxed

Cell and atoms, written as CIF:
```
data_MgPb
_symmetry_space_group_name_H-M 'P 1'
_symmetry_Int_Tables_number 1
_symmetry_space_group_name_Hall 'P 1'
_cell_length_a 8.395
_cell_length_b 8.395
_cell_length_c 8.395
_cell_angle_alpha 92.28
_cell_angle_beta 92.28
_cell_angle_gamma 156.98
loop_
_atom_site_label
_atom_site_type_symbol
_atom_site_fract_x
_atom_site_fract_y
_atom_site_fract_z
Mg1 Mg 0.086 0.365 0.450
Mg2 Mg 0.365 0.914 0.279
Mg3 Mg 0.635 0.086 0.721
Mg4 Mg 0.914 0.635 0.550
Pb1 Pb 0.114 0.818 0.932
Pb2 Pb 0.182 0.114 0.296
Pb3 Pb 0.818 0.886 0.704
Pb4 Pb 0.886 0.182 0.068
```

Calculated values
Crystal system ... tetragonal


[2]
Compound: Mg4Pb3
Source: Alexandria via LeMat-Bulk
Functional: PBE
Structure: relaxed

Cell and atoms, written as CIF:
```
data_Mg4Pb3
_symmetry_space_group_name_H-M 'P 1'
_symmetry_Int_Tables_number 1
_symmetry_space_group_name_Hall 'P 1'
_cell_length_a 11.936
_cell_length_b 11.936
_cell_length_c 11.936
_cell_angle_alpha 163.01
_cell_angle_beta 158.66
_cell_angle_gamma 27.40
loop_
_atom_site_label
_atom_site_type_symbol
_atom_site_fract_x
_atom_site_fract_y
_atom_site_fract_z
Mg1 Mg 0.072 0.072 0.000
Mg2 Mg 0.214 0.214 0.000
Mg3 Mg 0.786 0.786 0.000
Mg4 Mg 0.928 0.928 0.000
Pb1 Pb 0.352 0.352 0.000
Pb2 Pb 0.500 0.500 0.000
Pb3 Pb 0.648 0.648 0.000
```

Calculated values
Distance to the lowest polymorph of the same formula ... 0 meV per atom
Crystal system ... orthorhombic


[3]
Compound: MgPb5
Source: Alexandria via LeMat-Bulk
Functional: PBE
Structure: relaxed

Cell and atoms, written as CIF:
```
data_MgPb5
_symmetry_space_group_name_H-M 'P 1'
_symmetry_Int_Tables_number 1
_symmetry_space_group_name_Hall 'P 1'
_cell_length_a 5.924
_cell_length_b 5.924
_cell_length_c 5.949
_cell_angle_alpha 90.00
_cell_angle_beta 90.00
_cell_angle_gamma 120.00
loop_
_atom_site_label
_atom_site_type_symbol
_atom_site_fract_x
_atom_site_fract_y
_atom_site_fract_z
Mg1 Mg 0.000 0.000 0.000
Pb1 Pb 0.000 0.671 0.500
Pb2 Pb 0.329 0.329 0.500
Pb3 Pb 0.333 0.667 0.000
Pb4 Pb 0.667 0.333 0.000
Pb5 Pb 0.671 0.000 0.500
```

Calculated values
Distance to the lowest polymorph of the same formula ... 39 meV per atom
Crystal system ... hexagonal


One value per record, in order, for E_form: 0.03; -0.05; 0.03 eV/atom.
One value per record, in order, for total magnetization: 0.000; 0.000; 0.000 μB/atom.